No. 1
A plane-wave DFT calculation with PBE was carried out for a geometry-optimized BeAgPbAu2 structure.

Properties
Volume   99 Å³/f.u.
ΔH_f (0 K)   0.37 eV/f.u.
Uncorrected energy   -3.29 eV/atom
Spin magnetization   0.000 μB per formula unit

a b c (Å): 4.597 4.597 4.687
angles (deg): 90.00 90.00 90.00
Atoms (fractional coordinates):
Be  0.000  0.000  0.000
Ag  0.000  0.000  0.500
Pb  0.500  0.500  0.500
Au  0.000  0.500  0.000
Au  0.500  0.000  0.000

***

No. 2
A plane-wave DFT calculation with PBE was carried out for a geometry-optimized BeAgPdAu structure.

Properties
Volume   59 Å³/f.u.
ΔH_f (0 K)   -1.04 eV/f.u.
Uncorrected energy   -4.02 eV/atom
Spin magnetization   0.000 μB per formula unit

a b c (Å): 2.857 2.857 7.196
angles (deg): 90.00 90.00 90.00
Atoms (fractional coordinates):
Be  0.000  0.000  0.000
Ag  0.000  0.000  0.530
Pd  0.500  0.500  0.822
Au  0.500  0.500  0.222

***

No. 3
A plane-wave DFT calculation with PBE was carried out for a geometry-optimized Be2AgRuAu structure.

Properties
Volume   88 Å³/f.u.
ΔH_f (0 K)   6.22 eV/f.u.
Uncorrected energy   -3.33 eV/atom
Spin magnetization   1.471 μB per formula unit

a b c (Å): 4.209 4.209 4.961
angles (deg): 90.00 90.00 90.00
Atoms (fractional coordinates):
Be  0.000  0.500  0.000
Be  0.500  0.000  0.000
Ag  0.000  0.000  0.000
Ru  0.000  0.000  0.500
Au  0.500  0.500  0.500

***

No. 4
A plane-wave DFT calculation with PBE was carried out for a geometry-optimized BeAgSbAu2 structure.

Properties
Volume   112 Å³/f.u.
Formation energy without anion corrections   0.723 eV per atom
Uncorrected energy   -2.73 eV/atom
Spin magnetization   0.000 μB per formula unit

a b c (Å): 5.113 5.113 4.276
angles (deg): 90.00 90.00 90.00
Atoms (fractional coordinates):
Be  0.000  0.000  0.000
Ag  0.000  0.000  0.500
Sb  0.500  0.500  0.000
Au  0.000  0.500  0.500
Au  0.500  0.000  0.500

***

No. 5
A plane-wave DFT calculation with PBE was carried out for a geometry-optimized BeAgSnAu2 structure.

Properties
Volume   98 Å³/f.u.
ΔH_f (0 K)   1.12 eV/f.u.
Uncorrected energy   -3.20 eV/atom
Spin magnetization   0.000 μB per formula unit

a b c (Å): 4.547 4.547 4.731
angles (deg): 90.00 90.00 90.00
Atoms (fractional coordinates):
Be  0.000  0.000  0.000
Ag  0.500  0.500  0.500
Sn  0.000  0.000  0.500
Au  0.000  0.500  0.000
Au  0.500  0.000  0.000

***

No. 6
A plane-wave DFT calculation with PBE was carried out for a geometry-optimized Be2AgSnAu structure.

Properties
Volume   109 Å³/f.u.
ΔH_f (0 K)   4.52 eV/f.u.
Uncorrected energy   -2.61 eV/atom
Spin magnetization   0.000 μB per formula unit

a b c (Å): 4.505 4.505 5.358
angles (deg): 90.00 90.00 90.00
Atoms (fractional coordinates):
Be  0.000  0.500  0.000
Be  0.500  0.000  0.000
Ag  0.000  0.000  0.500
Sn  0.000  0.000  0.000
Au  0.500  0.500  0.500

***

No. 7
A plane-wave DFT calculation with PBE was carried out for a geometry-optimized Sr2BeAgAu6 structure.

Properties
Volume   232 Å³/f.u.
ΔH_f (0 K)   -4.36 eV/f.u.
Uncorrected energy   -3.40 eV/atom
Spin magnetization   0.000 μB per formula unit

a b c (Å): 6.427 6.435 7.451
angles (deg): 64.42 89.94 60.11
Atoms (fractional coordinates):
Sr  0.225  0.050  0.172
Sr  0.775  0.950  0.828
Be  0.000  0.500  0.500
Ag  0.500  0.500  0.000
Au  0.235  0.574  0.665
Au  0.236  0.026  0.669
Au  0.312  0.424  0.337
Au  0.688  0.576  0.663
Au  0.764  0.974  0.331
Au  0.765  0.426  0.335

***

No. 8
A plane-wave DFT calculation with PBE was carried out for a geometry-optimized SrBe2AgAu5 structure.

Properties
Volume   167 Å³/f.u.
ΔH_f (0 K)   -1.68 eV/f.u.
Uncorrected energy   -3.34 eV/atom
Spin magnetization   0.000 μB per formula unit

a b c (Å): 4.737 4.737 7.465
angles (deg): 90.00 90.00 90.00
Atoms (fractional coordinates):
Sr  0.000  0.000  0.000
Be  0.500  0.500  0.326
Be  0.500  0.500  0.674
Ag  0.000  0.000  0.500
Au  0.000  0.500  0.291
Au  0.000  0.500  0.709
Au  0.500  0.000  0.291
Au  0.500  0.000  0.709
Au  0.500  0.500  0.000

***

No. 9
A plane-wave DFT calculation with PBE was carried out for a geometry-optimized Sr2Be3AgAu12 structure.

Properties
Volume   395 Å³/f.u.
ΔH_f (0 K)   -2.37 eV/f.u.
Uncorrected energy   -3.28 eV/atom
Spin magnetization   0.000 μB per formula unit

a b c (Å): 8.096 8.096 8.096
angles (deg): 62.39 62.39 62.39
Atoms (fractional coordinates):
Sr  0.107  0.107  0.107
Sr  0.893  0.893  0.893
Be  0.000  0.500  0.500
Be  0.500  0.000  0.500
Be  0.500  0.500  0.000
Ag  0.500  0.500  0.500
Au  0.109  0.623  0.623
Au  0.166  0.166  0.599
Au  0.166  0.599  0.166
Au  0.377  0.377  0.891
Au  0.377  0.891  0.377
Au  0.401  0.834  0.834
Au  0.599  0.166  0.166
Au  0.623  0.109  0.623
Au  0.623  0.623  0.109
Au  0.834  0.401  0.834
Au  0.834  0.834  0.401
Au  0.891  0.377  0.377

***

No. 10
A plane-wave DFT calculation with PBE was carried out for a geometry-optimized BeAgTe2Au structure.

Properties
Volume   117 Å³/f.u.
Formation energy without anion corrections   0.386 eV per atom
Uncorrected energy   -2.84 eV/atom
Spin magnetization   0.000 μB per formula unit

a b c (Å): 5.096 5.096 4.495
angles (deg): 90.00 90.00 90.00
Atoms (fractional coordinates):
Be  0.000  0.000  0.000
Ag  0.500  0.500  0.500
Te  0.000  0.500  0.000
Te  0.500  0.000  0.000
Au  0.000  0.000  0.500

***

No. 11
A plane-wave DFT calculation with PBE was carried out for a geometry-optimized TiBeAgAu structure.

Properties
Volume   61 Å³/f.u.
ΔH_f (0 K)   -0.25 eV/f.u.
Uncorrected energy   -4.50 eV/atom
Spin magnetization   0.000 μB per formula unit

a b c (Å): 4.428 4.428 4.428
angles (deg): 60.00 60.00 60.00
Atoms (fractional coordinates):
Ti  0.000  0.000  0.000
Be  0.500  0.500  0.500
Ag  0.250  0.250  0.250
Au  0.750  0.750  0.750

***

No. 12
A plane-wave DFT calculation with PBE was carried out for a geometry-optimized Be2AgWAu structure.

Properties
Volume   87 Å³/f.u.
ΔH_f (0 K)   7.55 eV/f.u.
Uncorrected energy   -3.80 eV/atom
Spin magnetization   2.267 μB per formula unit

a b c (Å): 4.192 4.192 4.957
angles (deg): 90.00 90.00 90.00
Atoms (fractional coordinates):
Be  0.000  0.500  0.000
Be  0.500  0.000  0.000
Ag  0.000  0.000  0.000
W  0.500  0.500  0.500
Au  0.000  0.000  0.500

***

No. 13
A plane-wave DFT calculation with PBE was carried out for a geometry-optimized YBeAgAu2 structure.

Properties
Volume   95 Å³/f.u.
ΔH_f (0 K)   -1.62 eV/f.u.
Uncorrected energy   -4.24 eV/atom
Spin magnetization   0.000 μB per formula unit

a b c (Å): 4.575 4.575 4.541
angles (deg): 90.00 90.00 90.00
Atoms (fractional coordinates):
Y  0.000  0.000  0.000
Be  0.500  0.500  0.500
Ag  0.500  0.500  0.000
Au  0.000  0.500  0.500
Au  0.500  0.000  0.500

***

No. 14
A plane-wave DFT calculation with PBE was carried out for a geometry-optimized Be2ZnAg2Au5 structure.

Properties
Volume   160 Å³/f.u.
ΔH_f (0 K)   -0.99 eV/f.u.
Uncorrected energy   -3.18 eV/atom
Spin magnetization   0.000 μB per formula unit

a b c (Å): 9.901 9.901 3.261
angles (deg): 90.00 90.00 90.00
Atoms (fractional coordinates):
Be  0.130  0.370  0.000
Be  0.370  0.870  0.000
Be  0.630  0.130  0.000
Be  0.870  0.630  0.000
Zn  0.000  0.000  0.000
Zn  0.500  0.500  0.000
Ag  0.183  0.683  0.000
Ag  0.317  0.183  0.000
Ag  0.683  0.817  0.000
Ag  0.817  0.317  0.000
Au  0.000  0.500  0.500
Au  0.056  0.210  0.500
Au  0.210  0.944  0.500
Au  0.290  0.444  0.500
Au  0.444  0.710  0.500
Au  0.500  0.000  0.500
Au  0.556  0.290  0.500
Au  0.710  0.556  0.500
Au  0.790  0.056  0.500
Au  0.944  0.790  0.500

***

No. 15
A plane-wave DFT calculation with PBE was carried out for a geometry-optimized Be2ZnAgAu4 structure.

Properties
Volume   123 Å³/f.u.
ΔH_f (0 K)   -0.13 eV/f.u.
Uncorrected energy   -3.10 eV/atom
Spin magnetization   0.000 μB per formula unit

a b c (Å): 7.710 7.710 7.710
angles (deg): 33.29 33.29 33.29
Atoms (fractional coordinates):
Be  0.242  0.242  0.242
Be  0.758  0.758  0.758
Zn  0.000  0.000  0.000
Ag  0.500  0.500  0.500
Au  0.118  0.118  0.118
Au  0.370  0.370  0.370
Au  0.630  0.630  0.630
Au  0.882  0.882  0.882

***

No. 16
A plane-wave DFT calculation with PBE was carried out for a geometry-optimized BeZn2AgAu4 structure.

Properties
Volume   128 Å³/f.u.
ΔH_f (0 K)   -1.04 eV/f.u.
Uncorrected energy   -2.91 eV/atom
Spin magnetization   0.000 μB per formula unit

a b c (Å): 7.711 7.711 7.711
angles (deg): 34.03 34.03 34.03
Atoms (fractional coordinates):
Be  0.000  0.000  0.000
Zn  0.239  0.239  0.239
Zn  0.761  0.761  0.761
Ag  0.500  0.500  0.500
Au  0.109  0.109  0.109
Au  0.365  0.365  0.365
Au  0.635  0.635  0.635
Au  0.891  0.891  0.891

***

No. 17
A plane-wave DFT calculation with PBE was carried out for a geometry-optimized BeZn2Ag2Au5 structure.

Properties
Volume   170 Å³/f.u.
ΔH_f (0 K)   -0.90 eV/f.u.
Uncorrected energy   -2.93 eV/atom
Spin magnetization   0.000 μB per formula unit

a b c (Å): 10.695 10.695 2.964
angles (deg): 90.00 90.00 90.00
Atoms (fractional coordinates):
Be  0.000  0.000  0.000
Be  0.500  0.500  0.000
Zn  0.149  0.351  0.000
Zn  0.351  0.851  0.000
Zn  0.649  0.149  0.000
Zn  0.851  0.649  0.000
Ag  0.170  0.670  0.000
Ag  0.330  0.170  0.000
Ag  0.670  0.830  0.000
Ag  0.830  0.330  0.000
Au  0.000  0.500  0.500
Au  0.020  0.188  0.500
Au  0.188  0.980  0.500
Au  0.312  0.480  0.500
Au  0.480  0.688  0.500
Au  0.500  0.000  0.500
Au  0.520  0.312  0.500
Au  0.688  0.520  0.500
Au  0.812  0.020  0.500
Au  0.980  0.812  0.500

***

No. 18
A plane-wave DFT calculation with PBE was carried out for a geometry-optimized AgBi6Au structure.

Properties
Volume   237 Å³/f.u.
ΔH_f (0 K)   0.54 eV/f.u.
Uncorrected energy   -3.61 eV/atom
Spin magnetization   0.000 μB per formula unit

a b c (Å): 6.629 6.633 6.643
angles (deg): 66.90 66.89 66.85
Atoms (fractional coordinates):
Ag  0.000  0.000  0.000
Bi  0.029  0.748  0.473
Bi  0.252  0.526  0.970
Bi  0.475  0.028  0.748
Bi  0.525  0.972  0.252
Bi  0.748  0.474  0.030
Bi  0.971  0.252  0.527
Au  0.500  0.500  0.500

***

No. 19
A plane-wave DFT calculation with PBE was carried out for a geometry-optimized AgBiAu2 structure.

Properties
Volume   94 Å³/f.u.
ΔH_f (0 K)   0.38 eV/f.u.
Uncorrected energy   -3.23 eV/atom
Spin magnetization   0.000 μB per formula unit

a b c (Å): 4.735 8.049 5.453
angles (deg): 90.00 115.51 90.00
Atoms (fractional coordinates):
Ag  0.106  0.250  0.210
Ag  0.894  0.750  0.790
Bi  0.423  0.250  0.841
Bi  0.577  0.750  0.159
Au  0.286  0.577  0.573
Au  0.286  0.923  0.573
Au  0.714  0.077  0.427
Au  0.714  0.423  0.427

***

No. 20
A plane-wave DFT calculation with PBE was carried out for a geometry-optimized AgBi4Au2 structure.

Properties
Volume   191 Å³/f.u.
ΔH_f (0 K)   0.31 eV/f.u.
Uncorrected energy   -3.52 eV/atom
Spin magnetization   0.000 μB per formula unit

a b c (Å): 6.981 7.009 9.129
angles (deg): 107.84 110.03 98.79
Atoms (fractional coordinates):
Ag  0.000  0.000  0.000
Ag  0.494  0.636  0.130
Bi  0.154  0.614  0.823
Bi  0.199  0.446  0.258
Bi  0.282  0.969  0.309
Bi  0.286  0.158  0.850
Bi  0.684  0.577  0.869
Bi  0.691  0.993  0.690
Bi  0.796  0.639  0.441
Bi  0.799  0.072  0.280
Au  0.252  0.780  0.576
Au  0.256  0.330  0.565
Au  0.698  0.313  0.554
Au  0.740  0.312  0.065

***

No. 21
A plane-wave DFT calculation with PBE was carried out for a geometry-optimized Ag6BiAu5 structure.

Properties
Volume   227 Å³/f.u.
ΔH_f (0 K)   -0.12 eV/f.u.
Uncorrected energy   -3.12 eV/atom
Spin magnetization   0.000 μB per formula unit

a b c (Å): 4.211 8.548 6.635
angles (deg): 90.00 107.91 90.00
Atoms (fractional coordinates):
Ag  0.000  0.236  0.000
Ag  0.000  0.764  0.000
Ag  0.330  0.241  0.661
Ag  0.330  0.759  0.661
Ag  0.670  0.241  0.339
Ag  0.670  0.759  0.339
Bi  0.500  0.500  0.000
Au  0.168  0.000  0.335
Au  0.174  0.500  0.347
Au  0.500  0.000  0.000
Au  0.826  0.500  0.653
Au  0.832  0.000  0.665

***

No. 22
A plane-wave DFT calculation with PBE was carried out for a geometry-optimized Ag2BiAu2 structure.

Properties
Volume   104 Å³/f.u.
ΔH_f (0 K)   0.04 eV/f.u.
Uncorrected energy   -3.22 eV/atom
Spin magnetization   0.000 μB per formula unit

a b c (Å): 8.007 8.007 3.243
angles (deg): 90.00 90.00 90.00
Atoms (fractional coordinates):
Ag  0.166  0.334  0.000
Ag  0.334  0.834  0.000
Ag  0.666  0.166  0.000
Ag  0.834  0.666  0.000
Bi  0.000  0.000  0.500
Bi  0.500  0.500  0.500
Au  0.130  0.630  0.500
Au  0.370  0.130  0.500
Au  0.630  0.870  0.500
Au  0.870  0.370  0.500

***

No. 23
A plane-wave DFT calculation with PBE was carried out for a geometry-optimized AgBiAu6 structure.

Properties
Volume   156 Å³/f.u.
ΔH_f (0 K)   0.16 eV/f.u.
Uncorrected energy   -3.28 eV/atom
Spin magnetization   0.000 μB per formula unit

a b c (Å): 4.409 4.409 8.022
angles (deg): 90.00 90.00 90.00
Atoms (fractional coordinates):
Ag  0.000  0.000  0.000
Bi  0.000  0.000  0.500
Au  0.000  0.500  0.234
Au  0.000  0.500  0.766
Au  0.500  0.000  0.234
Au  0.500  0.000  0.766
Au  0.500  0.500  0.000
Au  0.500  0.500  0.500

***

No. 24
A plane-wave DFT calculation with PBE was carried out for a geometry-optimized Ag7BiAu3 structure.

Properties
Volume   222 Å³/f.u.
ΔH_f (0 K)   0.98 eV/f.u.
Uncorrected energy   -2.97 eV/atom
Spin magnetization   0.000 μB per formula unit

a b c (Å): 5.936 5.936 7.268
angles (deg): 90.00 90.00 120.00
Atoms (fractional coordinates):
Ag  0.000  0.000  0.000
Ag  0.011  0.505  0.985
Ag  0.168  0.335  0.331
Ag  0.168  0.832  0.331
Ag  0.495  0.505  0.985
Ag  0.495  0.989  0.985
Ag  0.665  0.832  0.331
Bi  0.667  0.333  0.336
Au  0.326  0.163  0.671
Au  0.837  0.163  0.671
Au  0.837  0.674  0.671